An optimized crystal structure of KTlO3, computed with PBE.

a b c (Å): 4.2932 4.2932 4.2932
angles (deg): 90.00 90.00 90.00
Site moments in Bohr magnetons follow the coordinates.
Fractional positions:
Tl (0.0000, 0.0000, 0.0000)  0.00
K (0.5000, 0.5000, 0.5000)  0.00
O (0.0000, 0.5000, 0.0000)  0.41
O (0.0000, 0.0000, 0.5000)  0.24
O (0.5000, 0.0000, 0.0000)  0.47

Values from the calculation:
Magnetization: 1.337 Bohr magnetons per cell
Space group: Pm-3m
Volume: 79 Å³/cell
Crystal system: cubic
Uncorrected formation energy: -369 meV/atom
Fermi-level density of states: 4.33 states/eV/cell

An optimized crystal structure of LaMg2AgO, computed with PBE.

a b c (Å): 5.1911 4.4308 5.1911
angles (deg): 90.00 90.00 90.00
Fractional positions:
Mg (0.0000, 0.0000, 0.5000)
Mg (0.5000, 0.0000, 0.0000)
O (0.0000, 0.5000, 0.0000)
Ag (0.0000, 0.0000, 0.0000)
La (0.5000, 0.5000, 0.5000)

Values from the calculation:
Magnetization: 0.000 Bohr magnetons per cell
Space group: P4/mmm
Volume: 119 Å³/cell
Crystal system: tetragonal
Uncorrected formation energy: 58 meV/atom
Fermi-level density of states: 4.49 states/eV/cell

Copy entry 1 word for word.
An optimized crystal structure of KTlO3, computed with PBE.

a b c (Å): 4.2932 4.2932 4.2932
angles (deg): 90.00 90.00 90.00
Site moments in Bohr magnetons follow the coordinates.
Fractional positions:
Tl (0.0000, 0.0000, 0.0000)  0.00
K (0.5000, 0.5000, 0.5000)  0.00
O (0.0000, 0.5000, 0.0000)  0.41
O (0.0000, 0.0000, 0.5000)  0.24
O (0.5000, 0.0000, 0.0000)  0.47

Values from the calculation:
Magnetization: 1.337 Bohr magnetons per cell
Space group: Pm-3m
Volume: 79 Å³/cell
Crystal system: cubic
Uncorrected formation energy: -369 meV/atom
Fermi-level density of states: 4.33 states/eV/cell